LiTb2Al2Ni5: optimized geometry, GGA-PBE.

## Properties
Energy of formation from the pure elements   -241 kJ/mol of formula units
Magnetic moment   0.000 μB/f.u.
E   -100.13 eV per cell

abc: 9.778 9.778 3.307
angles: 90.00 90.00 90.00
Space group P4/mbm (No. 127)
Asymmetric unit:
1 Li 0.000 0.000 0.000 (multiplicity 2)
2 Tb 0.176 0.324 0.000 (multiplicity 4)
3 Al 0.122 0.622 0.000 (multiplicity 4)
4 Ni 0.000 0.500 0.500 (multiplicity 2)
5 Ni 0.059 0.792 0.500 (multiplicity 8)


PrCd9Pd3: optimized geometry, GGA-PBE.

## Properties
Energy of formation from the pure elements   -389 kJ/mol of formula units
Magnetic moment   0.000 μB/f.u.
E   -65.25 eV per cell

abc: 5.672 14.053 7.399
angles: 90.00 112.16 90.00
Space group C2/m (No. 12)
Asymmetric unit:
1 Pr 0.000 0.000 0.000 (multiplicity 2)
2 Cd 0.000 0.000 0.500 (multiplicity 2)
3 Cd 0.102 0.390 0.213 (multiplicity 8)
4 Cd 0.174 0.175 0.335 (multiplicity 8)
5 Pd 0.000 0.500 0.500 (multiplicity 2)
6 Pd 0.250 0.250 0.000 (multiplicity 4)


RbFe2I6Cl2: optimized geometry, GGA-PBE.

## Properties
Magnetic moment   8.992 μB/f.u.
E   -36.30 eV per cell

abc: 7.6654 7.6654 11.2126
angles: 90.00 90.00 120.00
Space group P-3 (No. 147)
Asymmetric unit:
1 Rb 0.0000 0.0000 0.0000 (multiplicity 1)
2 Fe 0.3333 0.6667 0.7173 (multiplicity 2)
3 I 0.0070 0.4144 0.1981 (multiplicity 6)
4 Cl 0.3333 0.6667 0.5260 (multiplicity 2)


Pr2NdSm2Ho2: optimized geometry, GGA-PBE.

## Properties
Energy of formation from the pure elements   12 kJ/mol of formula units
Magnetic moment   0.000 μB/f.u.
E   -65.60 eV per cell

abc: 11.471 5.132 8.134
angles: 90.00 98.09 90.00
Space group C2/m (No. 12)
Asymmetric unit:
1 Pr 0.143 0.000 0.429 (multiplicity 4)
2 Nd 0.000 0.000 0.000 (multiplicity 2)
3 Sm 0.071 0.500 0.718 (multiplicity 4)
4 Ho 0.215 0.500 0.140 (multiplicity 4)


MgSbP3: optimized geometry, GGA-PBE.

## Properties
Magnetic moment   0.000 μB/f.u.
E   -17.52 eV per cell

abc: 4.798 4.798 4.798
angles: 90.00 90.00 90.00
Space group Pm-3m (No. 221)
Asymmetric unit:
1 Mg 0.000 0.000 0.000 (multiplicity 1)
2 Sb 0.500 0.500 0.500 (multiplicity 1)
3 P 0.000 0.000 0.500 (multiplicity 3)


TmCd5Ag: optimized geometry, GGA-PBE.

## Properties
Energy of formation from the pure elements   -102 kJ/mol of formula units
Magnetic moment   0.000 μB/f.u.
E   -12.95 eV per cell

abc: 4.811 4.811 7.105
angles: 90.00 90.00 90.00
Space group P4/mmm (No. 123)
Asymmetric unit:
1 Tm 0.000 0.000 0.000 (multiplicity 1)
2 Cd 0.000 0.500 0.284 (multiplicity 4)
3 Cd 0.500 0.500 0.000 (multiplicity 1)
4 Ag 0.000 0.000 0.500 (multiplicity 1)


CrIr4Rh: optimized geometry, GGA-PBE.

## Properties
Energy of formation from the pure elements   264 kJ/mol of formula units
Magnetic moment   0.037 μB/f.u.
E   -198.72 eV per cell

abc: 7.260 7.260 7.260
angles: 90.00 90.00 90.00
Space group F-43m (No. 216)
Asymmetric unit:
1 Cr 0.000 0.000 0.000 (multiplicity 4)
2 Ir 0.125 0.125 0.625 (multiplicity 16)
3 Rh 0.250 0.250 0.250 (multiplicity 4)